A relaxed MgSn2O4 crystal. Source: the Alexandria database, functional PBE-GGA.

The calculation puts the energy above the most stable polymorph in this dataset at 44 meV per atom.

```
MgSn2O4
1.0
3.100 0.000 0.000
0.000 8.165 0.000
0.000 0.000 15.325
O Sn Mg
16 8 4
Cartesian
2.325 1.993 5.067
0.775 4.548 5.082
2.325 1.093 15.108
0.775 4.939 12.785
0.775 2.089 12.729
0.775 0.856 10.203
0.775 6.172 10.258
2.325 3.617 10.243
2.325 6.076 2.596
0.775 2.989 7.445
2.325 7.309 5.122
0.775 7.072 0.217
0.775 0.465 2.581
2.325 7.700 12.744
2.325 3.226 2.540
2.325 5.176 7.880
2.325 3.771 6.224
0.775 0.351 6.170
2.325 7.853 1.439
2.325 7.814 9.155
0.775 4.394 9.101
0.775 0.312 13.886
2.325 3.731 13.833
0.775 4.434 1.492
2.325 5.889 11.735
0.775 2.276 3.590
0.775 6.359 4.072
2.325 1.806 11.253
```

=====

A relaxed Mg2SnO crystal. Source: the Alexandria database, functional PBE-GGA.

Its density of states at the Fermi level is 1.5 states/eV/f.u. The calculation puts the energy above the most stable polymorph in this dataset at 1137 meV per atom.

```
Mg2SnO
1.0
1.944 -3.085 3.031
-1.360 -0.039 4.542
-2.569 -3.616 1.675
O Mg Sn
1 2 1
Cartesian
0.000 0.000 0.000
-0.496 -1.685 2.312
-1.489 -5.055 6.936
-0.993 -3.370 4.624
```

=====

A relaxed MgSnO2 crystal. Source: the Alexandria database, functional PBE-GGA.

Its density of states at the Fermi level is 0.0 states/eV/f.u. The calculation puts the energy above the most stable polymorph in this dataset at 124 meV per atom.

```
MgSnO2
1.0
1.803 0.000 6.176
-0.902 1.561 6.176
-0.902 -1.561 6.176
O Sn Mg
2 1 1
Cartesian
0.000 0.000 2.022
0.000 0.000 16.505
0.000 0.000 0.000
0.000 0.000 9.263
```

=====

A relaxed Mg2Sn3O8 crystal. Source: the Alexandria database, functional PBE-GGA.

Its density of states at the Fermi level is 0.0 states/eV/f.u. The calculation puts the energy above the most stable polymorph in this dataset at 0 meV per atom.

```
Mg2Sn3O8
1.0
-1.638 -2.769 5.443
6.073 1.304 -1.181
-1.048 8.523 4.021
Sn O Mg
6 16 4
Cartesian
4.549 2.718 0.891
1.471 2.057 1.489
1.927 4.906 6.749
3.719 1.314 3.649
-0.321 5.649 4.589
-1.151 4.245 7.347
1.110 5.449 3.107
3.373 1.000 1.524
0.433 5.393 8.181
0.325 0.496 2.220
2.698 3.745 1.083
-0.376 3.058 1.443
3.287 4.730 5.199
4.091 6.089 2.527
-0.900 7.320 3.454
1.162 6.625 5.759
0.278 3.904 5.743
-1.541 6.045 6.284
2.502 -0.223 4.312
4.671 3.093 2.980
1.969 2.513 3.505
-0.479 -0.863 4.892
0.900 -1.151 3.358
2.946 4.469 3.161
2.555 7.648 4.661
0.509 2.029 4.858
```

=====

A relaxed Mg2Sn3O8 crystal. Source: the Alexandria database, functional PBE-GGA.

Its density of states at the Fermi level is 0.0 states/eV/f.u. The calculation puts the energy above the most stable polymorph in this dataset at 19 meV per atom.

```
Mg2Sn3O8
1.0
5.942 -0.137 -0.396
2.828 5.228 -0.396
1.223 0.710 5.237
O Sn Mg
8 3 2
Cartesian
3.908 2.269 1.614
8.295 4.815 1.204
3.498 3.989 4.229
6.495 1.812 0.215
6.084 3.532 2.830
1.697 0.985 3.240
5.198 1.059 4.229
4.794 4.741 0.215
4.242 4.199 2.222
0.000 0.000 0.000
5.750 1.601 2.222
2.686 1.559 0.185
7.307 4.241 4.260
```

=====

A relaxed Mg2SnO crystal. Source: the Alexandria database, functional PBE-GGA.

Its density of states at the Fermi level is 1.9 states/eV/f.u. The calculation puts the energy above the most stable polymorph in this dataset at 0 meV per atom.

```
Mg2SnO
1.0
-1.416 2.211 -1.944
-0.467 -0.667 -3.164
-7.024 -2.242 -0.178
O Mg Sn
1 2 1
Cartesian
0.000 0.000 0.000
-7.207 -0.751 -3.839
-1.700 0.052 -1.447
-4.453 -0.349 -2.643
```

=====

A relaxed MgSn2O4 crystal. Source: the Alexandria database, functional PBE-GGA.

Its density of states at the Fermi level is 0.5 states/eV/f.u. The calculation puts the energy above the most stable polymorph in this dataset at 126 meV per atom.

```
MgSn2O4
1.0
-1.907 -0.825 -6.135
-5.546 -3.177 -1.050
-5.102 3.410 -2.074
O Sn Mg
8 4 2
Cartesian
-7.675 -0.362 -5.660
-5.451 -1.765 -4.718
-2.555 -0.462 -4.080
-5.267 0.956 -5.141
-4.245 -1.554 -1.719
-4.038 1.504 -2.194
-1.625 -0.077 -1.198
-6.771 -0.016 -3.040
-7.483 -1.819 -3.989
-5.652 -0.636 -6.547
-9.530 -0.450 -7.028
-7.259 1.494 -4.505
-12.488 -0.589 -9.210
-4.705 -0.222 -3.470
```

=====

A relaxed MgSnO2 crystal. Source: the Alexandria database, functional PBE-GGA.

The calculation puts the energy above the most stable polymorph in this dataset at 53 meV per atom.

```
MgSnO2
1.0
3.335 0.003 -0.052
0.344 8.407 -0.081
0.541 2.944 9.258
O Mg Sn
8 4 4
Cartesian
1.391 5.411 5.884
1.645 8.978 7.429
1.238 8.291 2.790
1.209 3.542 3.732
3.011 7.811 5.393
2.981 3.062 6.336
2.575 2.376 1.697
2.829 5.943 3.242
2.929 4.348 4.694
3.323 9.502 6.468
1.291 7.006 4.432
0.897 1.852 2.657
2.902 7.422 1.635
2.396 7.009 7.287
1.824 4.345 1.839
1.318 3.931 7.491
```

=====

A relaxed MgSnO2 crystal. Source: the Alexandria database, functional PBE-GGA.

The calculation puts the energy above the most stable polymorph in this dataset at 27 meV per atom.

```
MgSnO2
1.0
-2.400 0.739 -1.977
-1.101 -8.603 -1.393
-4.687 -0.176 7.697
Sn Mg O
4 4 8
Cartesian
-3.615 -5.117 -2.130
-2.143 -0.188 0.909
-6.045 -7.852 3.419
-4.573 -2.923 6.457
-5.234 -5.896 0.551
-5.462 -4.707 3.779
-2.955 -2.145 3.776
-2.727 -3.333 0.548
-3.267 -0.509 4.884
-4.921 -7.532 -0.557
-3.294 -1.848 1.707
-5.018 -4.945 5.712
-3.148 -5.281 0.744
-5.040 -2.759 3.583
-3.170 -3.096 -1.384
-4.894 -6.192 2.620
```

=====

A relaxed MgSnO3 crystal. Source: the Alexandria database, functional PBE-GGA.

Its density of states at the Fermi level is 0.0 states/eV/f.u.

```
MgSnO3
1.0
-0.443 0.540 -2.726
-4.245 3.290 1.343
0.862 5.390 0.929
O Sn Mg
3 1 1
Cartesian
-3.398 4.145 -0.718
-0.805 5.212 -0.927
-1.243 2.476 -1.400
-0.466 0.781 -0.409
-1.594 3.675 0.350
```

=====

A relaxed MgSn2O4 crystal. Source: the Alexandria database, functional PBE-GGA.

The calculation puts the energy above the most stable polymorph in this dataset at 48 meV per atom.

```
MgSn2O4
1.0
10.836 0.000 0.000
0.000 3.165 0.018
0.000 2.869 12.289
Sn Mg O
8 4 16
Cartesian
9.650 5.256 11.501
1.186 0.778 0.806
9.485 4.791 7.761
4.232 2.212 6.950
1.350 1.243 4.546
6.604 3.822 5.357
4.067 2.677 10.690
6.768 3.357 1.617
1.781 3.763 8.260
7.199 3.705 10.191
3.636 2.329 2.116
9.054 2.271 4.046
7.893 2.240 5.827
7.628 3.839 3.524
10.645 2.364 1.148
4.847 0.751 1.897
0.191 3.670 11.159
5.609 3.798 7.292
2.942 3.794 6.480
8.626 5.274 9.669
5.227 2.236 5.015
3.208 2.195 8.783
8.360 3.674 11.972
0.571 2.185 8.041
2.210 0.760 2.638
2.476 2.360 0.335
10.265 3.849 4.265
5.989 5.283 10.410
```

=====

Calculated calculated volume in order - 13.85 18.85 13.04 12.63 12.94 16.48 14.37 16.28 15.62 14.95 15.03 Å³/atom
Calculated formation energy from raw total energies in order - -1704 -99 -1724 -1939 -1920 -1236 -1622 -1795 -1821 -1806 -1700 meV per atom